# 1
Entry from Alexandria: a relaxed AcZnGe2Pt crystal (PBE-GGA).

The formation energy is -0.7048 eV per atom. The electronic total energy comes out at -24.2 eV per formula unit. As for the density of states at the Fermi level: 0.28 states/eV per atom.

It has space group I-4m2 (No. 119), with a = 4.415 Å, b = 4.415 Å, c = 10.653 Å, α = 90.00°, β = 90.00° and γ = 90.00°. The inequivalent atoms are Ac at (0.000, 0.000, 0.000), Zn at (0.000, 0.500, 0.250), Ge at (0.000, 0.000, 0.376) and Pt at (0.000, 0.500, 0.750).

=====

# 2
Entry from Alexandria: a relaxed CdIn3Ag6 crystal (PBE-GGA).

The formation energy is 0.0334 eV per atom. The value obtained for the polymorph energy (0 for the lowest one) is 0.032 eV/atom. The electronic total energy comes out at -25.9 eV per formula unit. As for the density of states at the Fermi level: 0.35 states/eV per atom.

It has space group Cmc2_1 (No. 36), with a = 9.768 Å, b = 10.267 Å, c = 8.420 Å, α = 90.00°, β = 90.00° and γ = 90.00°. The inequivalent atoms are Cd at (0.000, 0.231, 0.000), In at (0.000, 0.026, 0.666), In at (0.173, 0.369, 0.647), Ag at (0.000, 0.220, 0.343), Ag at (0.000, 0.499, 0.393), Ag at (0.242, 0.116, 0.482) and Ag at (0.244, 0.132, 0.816).

=====

# 3
Entry from Alexandria: a relaxed DyTaTi crystal (PBE-GGA).

The formation energy is 0.1830 eV per atom. The electronic total energy comes out at -23.8 eV per formula unit. As for the density of states at the Fermi level: 1.23 states/eV per atom.

It has space group P4/nmm (No. 129, origin choice 2), with a = 3.519 Å, b = 3.519 Å, c = 10.778 Å, α = 90.00°, β = 90.00° and γ = 90.00°. The inequivalent atoms are Dy at (0.250, 0.250, 0.133), Ta at (0.250, 0.250, 0.689) and Ti at (0.250, 0.250, 0.432).

=====

# 4
Entry from Alexandria: a relaxed Pu2Si3Ni4Ru crystal (PBE-GGA).

The calculation puts the raw formation energy at -0.481 eV/atom. The electronic total energy comes out at -82.1 eV per formula unit. As for the density of states at the Fermi level: 2.41 states/eV per atom.

It has space group P-4m2 (No. 115), with a = 3.803 Å, b = 3.803 Å, c = 10.475 Å, α = 90.00°, β = 90.00° and γ = 90.00°. The inequivalent atoms are Pu at (0.000, 0.500, 0.247), Si at (0.000, 0.000, 0.000), Si at (0.000, 0.500, 0.625), Ni at (0.000, 0.000, 0.500), Ni at (0.000, 0.500, 0.846), Ni at (0.500, 0.500, 0.500) and Ru at (0.500, 0.500, 0.000).